[1]
ScCr2As | PBE-GGA | optimized geometry

The value obtained for the volume is 15.69 Å³/atom. The density of states at the Fermi level is 10.363 states/eV/cell. As for the formation energy from the elements: 0.1488 eV per atom.

The space group is R3m (No. 160, hexagonal axes) and the conventional cell measures 3.0375, 3.0375 and 23.5662 Å, with angles of 90.00, 90.00 and 120.00 degrees. The asymmetric unit holds Sc at (0.0000, 0.0000, 0.0000), Cr at (0.0000, 0.0000, 0.4916), Cr at (0.0000, 0.0000, 0.7574) and As at (0.0000, 0.0000, 0.2339).

***

[2]
ScCr2As | PBE-GGA | optimized geometry

The value obtained for the volume is 17.76 Å³/atom. The density of states at the Fermi level is 12.969 states/eV/cell. As for the formation energy from the elements: 0.3482 eV per atom.

The space group is I-42d (No. 122) and the conventional cell measures 7.2915, 7.2915 and 5.3434 Å, with angles of 90.00, 90.00 and 90.00 degrees. The asymmetric unit holds Sc at (0.0000, 0.0000, 0.0000), Cr at (0.1877, 0.2500, 0.6250) and As at (0.0000, 0.0000, 0.5000).

***

[3]
ScCr2As | PBE-GGA | optimized geometry

The value obtained for the volume is 16.14 Å³/atom. The density of states at the Fermi level is 3.791 states/eV/cell. As for the formation energy from the elements: 0.0510 eV per atom.

The space group is P2/m (No. 10) and the conventional cell measures 3.2883, 4.4218 and 4.4484 Å, with angles of 90.00, 93.56 and 90.00 degrees. The asymmetric unit holds Sc at (0.0000, 0.0000, 0.0000), Cr at (0.4228, 0.5000, 0.7822) and As at (0.5000, 0.0000, 0.5000).

***

[4]
ScCr2As | PBE-GGA | optimized geometry

The value obtained for the volume is 15.83 Å³/atom. The density of states at the Fermi level is 3.619 states/eV/cell. As for the formation energy from the elements: -0.0838 eV per atom.

The space group is I-4m2 (No. 119) and the conventional cell measures 3.9271, 3.9271 and 8.2100 Å, with angles of 90.00, 90.00 and 90.00 degrees. The asymmetric unit holds Sc at (0.0000, 0.0000, 0.0000), Cr at (0.0000, 0.0000, 0.5000), Cr at (0.0000, 0.5000, 0.7500) and As at (0.0000, 0.5000, 0.2500).

***

[5]
ScCr2As | PBE-GGA | optimized geometry

The value obtained for the volume is 17.68 Å³/atom. The density of states at the Fermi level is 17.563 states/eV/cell. As for the formation energy from the elements: 0.3236 eV per atom.

The space group is R-3m (No. 166, hexagonal axes) and the conventional cell measures 3.2525, 3.2525 and 23.1547 Å, with angles of 90.00, 90.00 and 120.00 degrees. The asymmetric unit holds Sc at (0.0000, 0.0000, 0.0000), Cr at (0.0000, 0.0000, 0.2350) and As at (0.0000, 0.0000, 0.5000).

***

[6]
ScCrAs2 | PBE-GGA | optimized geometry

The value obtained for the volume is 17.94 Å³/atom. The density of states at the Fermi level is 11.554 states/eV/cell. As for the formation energy from the elements: 0.0322 eV per atom. For the energy above the most stable polymorph in this dataset, the calculation gives 2.96 eV/f.u.

The space group is F-43m (No. 216) and the conventional cell measures 6.5966, 6.5966 and 6.5966 Å, with angles of 90.00, 90.00 and 90.00 degrees. The asymmetric unit holds Sc at (0.0000, 0.0000, 0.0000), Cr at (0.2500, 0.2500, 0.7500), As at (0.0000, 0.0000, 0.5000) and As at (0.2500, 0.2500, 0.2500).

***

[7]
ScCrAs2 | PBE-GGA | optimized geometry

The value obtained for the volume is 17.93 Å³/atom. The density of states at the Fermi level is 3.961 states/eV/cell. As for the formation energy from the elements: -0.4015 eV per atom. For the energy above the most stable polymorph in this dataset, the calculation gives 1.23 eV/f.u.

The space group is C2/m (No. 12) and the conventional cell measures 6.4894, 6.8977 and 3.2569 Å, with angles of 90.00, 100.28 and 90.00 degrees. The asymmetric unit holds Sc at (0.0000, 0.0000, 0.0000), Cr at (0.0000, 0.5000, 0.0000) and As at (0.2500, 0.2500, 0.5000).

***

[8]
ScCr2As | PBE-GGA | optimized geometry

The value obtained for the volume is 15.35 Å³/atom. The density of states at the Fermi level is 5.562 states/eV/cell. As for the formation energy from the elements: -0.0610 eV per atom.

The space group is C2/m (No. 12) and the conventional cell measures 8.8419, 3.1004 and 4.5839 Å, with angles of 90.00, 102.24 and 90.00 degrees. The asymmetric unit holds Sc at (0.0000, 0.0000, 0.0000), Cr at (0.2394, 0.0000, 0.6714) and As at (0.0000, 0.5000, 0.5000).

***

Please write out number 4 again, unchanged.
ScCr2As | PBE-GGA | optimized geometry

The value obtained for the volume is 15.83 Å³/atom. The density of states at the Fermi level is 3.619 states/eV/cell. As for the formation energy from the elements: -0.0838 eV per atom.

The space group is I-4m2 (No. 119) and the conventional cell measures 3.9271, 3.9271 and 8.2100 Å, with angles of 90.00, 90.00 and 90.00 degrees. The asymmetric unit holds Sc at (0.0000, 0.0000, 0.0000), Cr at (0.0000, 0.0000, 0.5000), Cr at (0.0000, 0.5000, 0.7500) and As at (0.0000, 0.5000, 0.2500).

***

Question: What is the formation energy from the elements in the second record?
Answer: 0.3482 eV per atom

***

Question: formation energy from the elements of number 5 (ScCr2As)?
Answer: 0.3236 eV per atom

***

Question: Which value of formation energy from the elements does entry 4 give?
Answer: -0.0838 eV per atom